#i
Compound: GePSe2
Source: Alexandria via LeMat-Bulk
Functional: PBE
Structure: relaxed

Its density of states at the Fermi level is 0.46 states/eV per atom.

Cell: 6.725 6.725 6.725 Å, 90.00 90.00 90.00°
Fractional coordinates of all 16 atoms:
Ge 0.000 0.000 0.000
Ge 0.000 0.500 0.500
Ge 0.500 0.000 0.500
Ge 0.500 0.500 0.000
P 0.000 0.000 0.500
P 0.000 0.500 0.000
P 0.500 0.000 0.000
P 0.500 0.500 0.500
Se 0.250 0.250 0.250
Se 0.250 0.250 0.750
Se 0.250 0.750 0.250
Se 0.250 0.750 0.750
Se 0.750 0.250 0.250
Se 0.750 0.250 0.750
Se 0.750 0.750 0.250
Se 0.750 0.750 0.750

=====

#ii
Compound: GePSe2
Source: Alexandria via LeMat-Bulk
Functional: PBE
Structure: relaxed

Its density of states at the Fermi level is 0.24 states/eV per atom.

Cell: 3.516 3.516 25.605 Å, 90.00 90.00 120.00°
Fractional coordinates of all 12 atoms:
Ge 0.000 0.000 0.000
Ge 0.333 0.667 0.667
Ge 0.667 0.333 0.333
P 0.000 0.000 0.500
P 0.333 0.667 0.167
P 0.667 0.333 0.833
Se 0.000 0.000 0.107
Se 0.000 0.000 0.893
Se 0.333 0.667 0.560
Se 0.333 0.667 0.774
Se 0.667 0.333 0.226
Se 0.667 0.333 0.440

=====

#iii
Compound: GePSe2
Source: Alexandria via LeMat-Bulk
Functional: PBE
Structure: relaxed

Its density of states at the Fermi level is 0.38 states/eV per atom.

Cell: 5.169 5.169 15.040 Å, 90.00 90.00 90.00°
Fractional coordinates of all 16 atoms:
Ge 0.000 0.000 0.000
Ge 0.000 0.500 0.250
Ge 0.500 0.000 0.750
Ge 0.500 0.500 0.500
P 0.000 0.000 0.500
P 0.000 0.500 0.750
P 0.500 0.000 0.250
P 0.500 0.500 0.000
Se 0.222 0.250 0.625
Se 0.250 0.722 0.875
Se 0.250 0.778 0.375
Se 0.278 0.250 0.125
Se 0.722 0.750 0.125
Se 0.750 0.222 0.375
Se 0.750 0.278 0.875
Se 0.778 0.750 0.625

=====

Which of them is most stable, and which least? Most stable: #ii; least stable: #i.

=====

#i
Compound: GeP2Se2
Source: Alexandria via LeMat-Bulk
Functional: PBE
Structure: relaxed

Its density of states at the Fermi level is 0.36 states/eV per atom.

Cell: 7.917 7.917 3.441 Å, 90.00 90.00 90.00°
Fractional coordinates of all 10 atoms:
Ge 0.000 0.000 0.000
Ge 0.500 0.500 0.000
P 0.212 0.288 0.000
P 0.288 0.788 0.000
P 0.712 0.212 0.000
P 0.788 0.712 0.000
Se 0.147 0.647 0.500
Se 0.353 0.147 0.500
Se 0.647 0.853 0.500
Se 0.853 0.353 0.500

=====

#ii
Compound: GeP2Se2
Source: Alexandria via LeMat-Bulk
Functional: PBE
Structure: relaxed

Its density of states at the Fermi level is 0.48 states/eV per atom.

Cell: 5.173 5.173 7.495 Å, 90.00 90.00 90.00°
Fractional coordinates of all 10 atoms:
Ge 0.000 0.000 0.000
Ge 0.500 0.500 0.500
P 0.000 0.000 0.343
P 0.000 0.000 0.657
P 0.500 0.500 0.157
P 0.500 0.500 0.843
Se 0.000 0.500 0.250
Se 0.000 0.500 0.750
Se 0.500 0.000 0.250
Se 0.500 0.000 0.750

=====

Which of them is most stable, and which least? Most stable: #i; least stable: #ii.

=====

#i
Compound: GeP2Se
Source: Alexandria via LeMat-Bulk
Functional: PBE
Structure: relaxed

Its density of states at the Fermi level is 0.56 states/eV per atom.

Cell: 6.518 6.518 6.518 Å, 90.00 90.00 90.00°
Fractional coordinates of all 16 atoms:
Ge 0.000 0.000 0.000
Ge 0.000 0.500 0.500
Ge 0.500 0.000 0.500
Ge 0.500 0.500 0.000
P 0.250 0.250 0.250
P 0.250 0.250 0.750
P 0.250 0.750 0.250
P 0.250 0.750 0.750
P 0.750 0.250 0.250
P 0.750 0.250 0.750
P 0.750 0.750 0.250
P 0.750 0.750 0.750
Se 0.000 0.000 0.500
Se 0.000 0.500 0.000
Se 0.500 0.000 0.000
Se 0.500 0.500 0.500

=====

#ii
Compound: GeP2Se
Source: Alexandria via LeMat-Bulk
Functional: PBE
Structure: relaxed

Its density of states at the Fermi level is 0.01 states/eV per atom.

Cell: 6.372 6.372 8.573 Å, 90.00 90.00 90.00°
Fractional coordinates of all 16 atoms:
Ge 0.000 0.000 0.000
Ge 0.000 0.500 0.250
Ge 0.500 0.000 0.750
Ge 0.500 0.500 0.500
P 0.222 0.750 0.125
P 0.250 0.222 0.875
P 0.250 0.278 0.375
P 0.278 0.750 0.625
P 0.722 0.250 0.625
P 0.750 0.722 0.375
P 0.750 0.778 0.875
P 0.778 0.250 0.125
Se 0.000 0.000 0.500
Se 0.000 0.500 0.750
Se 0.500 0.000 0.250
Se 0.500 0.500 0.000

=====

Which of them is most stable, and which least? Most stable: #ii; least stable: #i.